[1]
HgBrCl2 | PBE | relaxed

Lattice parameters (Å, degrees): 4.0666 4.0666 24.2272 90.00 90.00 120.00
Closest atoms and distances in Å follow each position.
Space group R3m (No. 160, hexagonal axes)
Unique sites:
Hg1 0.0000 0.0000 0.0000  3 Cl 2.73, 3 Br 2.86
Br1 0.0000 0.0000 0.7338  3 Hg 2.86
Cl1 0.0000 0.0000 0.2755  3 Hg 2.73
Cl2 0.0000 0.0000 0.4923  3 Br 3.23

Properties
- Excess energy over the best structure of this formula in the dataset: 19.4 kJ/mol of atoms
- Formation energy from raw total energies: -0.0552 eV per atom

=====

[2]
Be2GeCl | PBE | relaxed

Lattice parameters (Å, degrees): 6.1704 6.1704 6.1704 90.00 90.00 90.00
Closest atoms and distances in Å follow each position.
Space group Fm-3m (No. 225)
Unique sites:
Be1 0.2500 0.2500 0.2500  4 Ge 2.67, 4 Cl 2.67
Ge1 0.0000 0.0000 0.0000  8 Be 2.67
Cl1 0.0000 0.0000 0.5000  8 Be 2.67

Properties
- Excess energy over the best structure of this formula in the dataset: 69.4 kJ/mol of atoms
- Formation energy from raw total energies: 0.8663 eV per atom

=====

[3]
YAlAu2 | PBE | relaxed

Lattice parameters (Å, degrees): 4.5442 4.5442 7.6928 90.00 90.00 90.00
Closest atoms and distances in Å follow each position.
Space group I-4m2 (No. 119)
Unique sites:
Y1 0.0000 0.0000 0.0000  4 Al 2.98, 8 Au 2.98-3.21
Al1 0.0000 0.5000 0.7500  4 Y 2.98, 8 Au 2.98-3.21
Au1 0.0000 0.0000 0.5000  4 Al 2.98, 4 Au 2.98, 4 Y 3.21
Au2 0.0000 0.5000 0.2500  4 Y 2.98, 4 Au 2.98, 4 Al 3.21

Properties
- Energy relative to the elements: -2.1 eV per formula unit

=====

[4]
HfMn2Ge | PBE | relaxed

Lattice parameters (Å, degrees): 4.1034 4.1034 3.3912 90.00 90.00 90.00
Closest atoms and distances in Å follow each position.
Space group P4/mmm (No. 123)
Unique sites:
Hf1 0.0000 0.0000 0.0000  8 Mn 2.66, 4 Ge 2.90
Mn1 0.0000 0.5000 0.5000  4 Ge 2.66, 4 Hf 2.66, 4 Mn 2.90
Ge1 0.5000 0.5000 0.0000  8 Mn 2.66, 4 Hf 2.90

Properties
- Energy relative to the elements: -0.8 eV per formula unit

=====

[5]
HfCr2N2 | PBE | relaxed

Lattice parameters (Å, degrees): 5.8722 5.8722 3.6493 90.00 90.00 90.00
Closest atoms and distances in Å follow each position.
Space group P4/mbm (No. 127)
Unique sites:
Hf1 0.0000 0.0000 0.0000  4 N 2.20
Cr1 0.1522 0.3478 0.5000  2 N 1.83
N1 0.1626 0.3374 0.0000  2 Cr 1.83

Properties
- Excess energy over the best structure of this formula in the dataset: 0.0 kJ/mol of atoms
- Formation energy from raw total energies: -0.3918 eV per atom

=====

[6]
Ca2Mg2Os | PBE | relaxed

Lattice parameters (Å, degrees): 7.0004 7.0004 5.1068 90.00 90.00 90.00
Closest atoms and distances in Å follow each position.
Space group P4/mbm (No. 127)
Unique sites:
Ca1 0.1850 0.3150 0.0000  2 Mg 3.03
Mg1 0.1493 0.6493 0.5000  2 Os 2.67, 1 Mg 2.96
Os1 0.0000 0.0000 0.5000  4 Mg 2.67

Properties
- Excess energy over the best structure of this formula in the dataset: 0.0 kJ/mol of atoms
- Energy relative to the elements: 1.8 eV per formula unit

=====

[7]
MnH3Cl | PBE | relaxed

Lattice parameters (Å, degrees): 3.7874 3.7874 3.7874 90.00 90.00 90.00
Closest atoms and distances in Å follow each position.
Space group Pm-3m (No. 221)
Unique sites:
Mn1 0.0000 0.0000 0.0000  12 H 2.68
H1 0.0000 0.5000 0.5000  2 Cl 1.89
Cl1 0.5000 0.5000 0.5000  6 H 1.89

Properties
- Excess energy over the best structure of this formula in the dataset: 79.1 kJ/mol of atoms

=====

[8]
AcPr2Ni | PBE | relaxed

Lattice parameters (Å, degrees): 3.8704 3.8704 32.5167 90.00 90.00 120.00
Closest atoms and distances in Å follow each position.
Space group R-3m (No. 166, hexagonal axes)
Unique sites:
Ac1 0.0000 0.0000 0.0000  2 Pr 3.74, 6 Ac 3.87
Pr1 0.0000 0.0000 0.1150  3 Ni 2.80
Ni1 0.0000 0.0000 0.5000  6 Pr 2.80

Properties
- Excess energy over the best structure of this formula in the dataset: 21.6 kJ/mol of atoms
- Energy relative to the elements: 0.3 eV per formula unit

=====

[9]
Be2B2Pt | PBE | relaxed

Lattice parameters (Å, degrees): 5.7400 5.7400 2.9036 90.00 90.00 90.00
Closest atoms and distances in Å follow each position.
Space group P4/mbm (No. 127)
Unique sites:
Be1 0.1268 0.3732 0.0000  4 B 1.96, 1 Be 2.06
B1 0.1010 0.6010 0.5000  1 B 1.64
Pt1 0.0000 0.0000 0.0000  4 Be 2.26

Properties
- Excess energy over the best structure of this formula in the dataset: 64.7 kJ/mol of atoms
- Energy relative to the elements: 2.6 eV per formula unit

=====

[10]
BeIrAuO | PBE | relaxed

Lattice parameters (Å, degrees): 2.7063 4.6954 4.9041 90.00 90.00 90.00
Closest atoms and distances in Å follow each position.
Space group Pmm2 (No. 25)
Unique sites:
Be1 0.0000 0.0000 0.0000  2 O 1.52
Ir1 0.5000 0.0000 0.4219  1 O 2.13
Au1 0.0000 0.5000 0.3606  2 Au 2.71, 4 Ir 2.73, 2 Be 2.94
O1 0.5000 0.0000 0.8571  2 Be 1.52

Properties
- Excess energy over the best structure of this formula in the dataset: 29.8 kJ/mol of atoms
- Formation energy from raw total energies: -0.5728 eV per atom

=====

[11]
CaHoTm2Sb4 | PBE | relaxed

Lattice parameters (Å, degrees): 7.6218 4.3520 7.6291 90.00 109.03 90.00
Closest atoms and distances in Å follow each position.
Space group P2/m (No. 10)
Unique sites:
Ca1 0.0000 0.0000 0.0000  6 Sb 3.15-3.16
Ho1 0.5000 0.5000 0.0000  6 Sb 3.11-3.12
Tm1 0.0000 0.5000 0.5000  6 Sb 3.09-3.10
Tm2 0.5000 0.0000 0.5000  6 Sb 3.05-3.06
Sb1 0.2522 0.0000 0.7449  3 Tm 3.06-3.09, 2 Ho 3.11, 1 Ca 3.15
Sb2 0.2576 0.5000 0.2593  3 Tm 3.05-3.10, 1 Ho 3.12, 2 Ca 3.16

Properties
- Formation energy from raw total energies: -1.0024 eV per atom

=====

[12]
Zn2H5Ru | PBE | relaxed

Lattice parameters (Å, degrees): 6.7937 6.6407 4.1362 90.00 127.40 90.00
Closest atoms and distances in Å follow each position.
Space group Cm (No. 8)
Unique sites:
Zn1 0.0000 0.2204 0.0000  3 H 1.87-2.07
H1 0.0400 0.5000 0.0434  1 Ru 1.78, 2 Zn 1.87
H2 0.1330 0.0000 0.4413  1 H 1.58, 1 Ru 1.62
H3 0.1332 0.0000 0.8233  1 H 1.58, 1 Ru 1.62
H4 0.3886 0.2446 0.3895  1 Ru 1.70
Ru1 0.3701 0.5000 0.3704  5 H 1.62-1.78

Properties
- E: -56.69 eV per cell

=====

[13]
InGa2Mo2 | PBE | relaxed

Lattice parameters (Å, degrees): 7.1949 7.1949 3.4105 90.00 90.00 90.00
Closest atoms and distances in Å follow each position.
Space group P4/mbm (No. 127)
Unique sites:
In1 0.0000 0.0000 0.0000  4 Mo 2.85, 8 Ga 3.17
Ga1 0.1682 0.3318 0.5000  6 Mo 2.72-2.73
Mo1 0.1238 0.6238 0.0000  1 Mo 2.52, 6 Ga 2.72-2.73

Properties
- Excess energy over the best structure of this formula in the dataset: 0.0 kJ/mol of atoms
- Energy relative to the elements: 0.7 eV per formula unit

=====

[14]
LaY2Cl | PBE | relaxed

Lattice parameters (Å, degrees): 4.4142 4.4142 6.6306 90.00 90.00 90.00
Closest atoms and distances in Å follow each position.
Space group P4/mmm (No. 123)
Unique sites:
La1 0.0000 0.0000 0.0000  4 Cl 3.12
Y1 0.0000 0.5000 0.5000  4 Y 3.12
Cl1 0.5000 0.5000 0.0000  4 La 3.12

Properties
- Excess energy over the best structure of this formula in the dataset: 53.0 kJ/mol of atoms
- Formation energy from raw total energies: -0.1220 eV per atom

=====

[15]
Sb3TeO | PBE | relaxed

Lattice parameters (Å, degrees): 4.8969 4.8969 4.8969 90.00 90.00 90.00
Closest atoms and distances in Å follow each position.
Space group Pm-3m (No. 221)
Unique sites:
Sb1 0.0000 0.0000 0.5000  2 O 2.45
Te1 0.5000 0.5000 0.5000  12 Sb 3.46
O1 0.0000 0.0000 0.0000  6 Sb 2.45

Properties
- Excess energy over the best structure of this formula in the dataset: 0.0 kJ/mol of atoms
- Formation energy from raw total energies: 0.0969 eV per atom

=====

[16]
Si2Tc | PBE | relaxed

Lattice parameters (Å, degrees): 7.7226 4.5588 4.5022 90.00 90.00 90.00
Closest atoms and distances in Å follow each position.
Space group Cmcm (No. 63)
Unique sites:
Si1 0.1656 0.2347 0.2500  5 Si 2.56-2.63, 5 Tc 2.57-2.66
Tc1 0.0000 0.2769 0.7500  10 Si 2.57-2.66

Properties
- Excess energy over the best structure of this formula in the dataset: 0.0 kJ/mol of atoms
- Formation energy from raw total energies: -0.3928 eV per atom

=====

[17]
ZnNi2Br | PBE | relaxed

Lattice parameters (Å, degrees): 3.1242 3.1242 6.0210 90.00 90.00 90.00
Closest atoms and distances in Å follow each position.
Space group P4/mmm (No. 123)
Unique sites:
Zn1 0.0000 0.0000 0.0000  8 Ni 2.55
Ni1 0.5000 0.5000 0.2106  1 Ni 2.54, 4 Zn 2.55, 4 Br 2.81
Br1 0.0000 0.0000 0.5000  8 Ni 2.81, 2 Zn 3.01, 4 Br 3.12

Properties
- Excess energy over the best structure of this formula in the dataset: 14.4 kJ/mol of atoms
- Formation energy from raw total energies: 0.2542 eV per atom

=====

[18]
LaYPdAu | PBE | relaxed

Lattice parameters (Å, degrees): 7.3134 7.3134 7.3134 90.00 90.00 90.00
Closest atoms and distances in Å follow each position.
Space group F-43m (No. 216)
Unique sites:
La1 0.0000 0.0000 0.0000  4 Pd 3.17, 4 Au 3.17
Y1 0.0000 0.0000 0.5000  4 Au 3.17, 4 Pd 3.17
Pd1 0.2500 0.2500 0.2500  4 Y 3.17, 4 La 3.17
Au1 0.2500 0.2500 0.7500  4 La 3.17, 4 Y 3.17

Properties
- Excess energy over the best structure of this formula in the dataset: 5.9 kJ/mol of atoms
- Energy relative to the elements: -3.1 eV per formula unit

=====

[19]
Sr4CdPt | PBE | relaxed

Lattice parameters (Å, degrees): 9.9712 16.3272 7.5885 90.00 126.22 90.00
Closest atoms and distances in Å follow each position.
Space group C2/c (No. 15)
Unique sites:
Sr1 0.1393 0.2066 0.1349  1 Pt 2.98
Sr2 0.2428 0.0380 0.7322  2 Pt 3.02-3.09
Cd1 0.0000 0.3723 0.7500  8 Sr 3.41-3.67
Pt1 0.0000 0.0727 0.2500  6 Sr 2.98-3.09

Properties
- Excess energy over the best structure of this formula in the dataset: 0.0 kJ/mol of atoms
- Energy relative to the elements: -2.5 eV per formula unit

=====

[20]
Ba2InGeRh | PBE | relaxed

Lattice parameters (Å, degrees): 6.1001 6.1001 4.7509 90.00 90.00 90.00
Closest atoms and distances in Å follow each position.
Space group P4/mmm (No. 123)
Unique sites:
Ba1 0.0000 0.5000 0.0000  2 Rh 3.05
In1 0.0000 0.0000 0.5000  8 Ba 3.87, 4 Ge 4.31
Ge1 0.5000 0.5000 0.5000  2 Rh 2.38
Rh1 0.5000 0.5000 0.0000  2 Ge 2.38

Properties
- Energy relative to the elements: -1.5 eV per formula unit